This record from Alexandria via LeMat-Bulk describes Sr3Pm2DyTe6 after structural relaxation. The functional is PBE.

Values from the calculation:
ΔE_f (raw): -1.528 eV/atom
Total magnetic moment: 0.0 μB per formula unit

Cell and atoms, written as POSCAR:
```
Sr3Pm2DyTe6
1.0
3.9233 -6.7855 0.0000
3.9233 6.7855 0.0000
-2.6164 0.0000 7.5979
Sr Pm Dy Te
3 2 1 6
Cartesian
0.0000 0.0000 0.0000
3.9233 2.2960 0.0000
3.9233 -2.2960 0.0000
2.6151 4.5389 3.7990
2.6151 -4.5389 3.7990
2.6151 0.0000 3.7990
1.3335 2.2227 2.0112
0.0507 0.0000 5.6048
1.3335 -2.2227 2.0112
3.8966 2.2227 5.5867
5.1794 0.0000 1.9932
3.8966 -2.2227 5.5867
```